Density functional theory data (SCAN) for a PBEsol-optimized structure of Zn2CuHg.

Cell lengths 3.906, 3.906, 3.918 Å; angles 90.00, 90.00, 90.00 degrees
Fractional positions:
1 Zn 0.000 0.500 0.000
2 Zn 0.500 0.000 0.000
3 Cu 0.000 0.000 0.500
4 Hg 0.500 0.500 0.500

Calculated values
The calculation puts the formation energy at 107.0 meV per atom.


Density functional theory data (SCAN) for a PBEsol-optimized structure of Zn2CuHg.

Cell lengths 3.153, 3.413, 5.620 Å; angles 90.00, 90.00, 90.00 degrees
Fractional positions:
1 Zn 0.000 0.000 0.000
2 Zn 0.500 0.500 0.238
3 Cu 0.000 0.000 0.446
4 Hg 0.500 0.500 0.721

Calculated values
The calculation puts the formation energy at 88.0 meV per atom.


Density functional theory data (SCAN) for a PBEsol-optimized structure of ZnCuHg.

Cell lengths 3.220, 3.220, 8.831 Å; angles 90.00, 90.00, 90.00 degrees
Fractional positions:
1 Zn 0.000 0.000 0.000
2 Zn 0.500 0.500 0.500
3 Cu 0.000 0.000 0.370
4 Cu 0.500 0.500 0.870
5 Hg 0.000 0.000 0.687
6 Hg 0.500 0.500 0.187

Calculated values
The calculation puts the formation energy at 108.7 meV per atom.


Density functional theory data (SCAN) for a PBEsol-optimized structure of Zr3CuHg.

Cell lengths 5.169, 5.169, 5.169 Å; angles 90.00, 90.00, 90.00 degrees
Fractional positions:
1 Zr 0.000 0.000 0.500
2 Zr 0.000 0.500 0.000
3 Zr 0.500 0.000 0.000
4 Cu 0.500 0.500 0.500
5 Hg 0.000 0.000 0.000

Calculated values
The calculation puts the formation energy at 1159.9 meV per atom.


Density functional theory data (SCAN) for a PBEsol-optimized structure of ZrCuHg2.

Cell lengths 6.188, 8.443, 2.909 Å; angles 90.00, 90.00, 90.00 degrees
Fractional positions:
1 Zr 0.000 0.000 0.000
2 Zr 0.500 0.500 0.000
3 Cu 0.000 0.500 0.000
4 Cu 0.500 0.000 0.000
5 Hg 0.250 0.250 0.500
6 Hg 0.250 0.750 0.500
7 Hg 0.750 0.250 0.500
8 Hg 0.750 0.750 0.500

Calculated values
The energy above the most stable polymorph in this dataset is 112 meV/atom. The calculation puts the formation energy at 71.4 meV per atom.


Density functional theory data (SCAN) for a PBEsol-optimized structure of ZrCuHg.

Cell lengths 4.541, 4.541, 2.947 Å; angles 90.00, 90.00, 120.00 degrees
Fractional positions:
1 Zr 0.000 0.000 0.000
2 Cu 0.667 0.333 0.500
3 Hg 0.333 0.667 0.500

Calculated values
The calculation puts the formation energy at -230.0 meV per atom.


Density functional theory data (SCAN) for a PBEsol-optimized structure of ZrCuHg2.

Cell lengths 4.701, 4.701, 6.605 Å; angles 90.00, 90.00, 90.00 degrees
Fractional positions:
1 Zr 0.000 0.000 0.000
2 Zr 0.500 0.500 0.500
3 Cu 0.000 0.500 0.750
4 Cu 0.500 0.000 0.250
5 Hg 0.000 0.000 0.500
6 Hg 0.000 0.500 0.250
7 Hg 0.500 0.000 0.750
8 Hg 0.500 0.500 0.000

Calculated values
The energy above the most stable polymorph in this dataset is 0 meV/atom. The calculation puts the formation energy at -40.7 meV per atom.


Density functional theory data (SCAN) for a PBEsol-optimized structure of ZrCuHg2.

Cell lengths 2.935, 4.427, 5.851 Å; angles 90.00, 101.43, 90.00 degrees
Fractional positions:
1 Zr 0.000 0.000 0.000
2 Cu 0.500 0.000 0.500
3 Hg 0.376 0.500 0.737
4 Hg 0.624 0.500 0.263

Calculated values
The energy above the most stable polymorph in this dataset is 5 meV/atom. The calculation puts the formation energy at -36.0 meV per atom.


Density functional theory data (SCAN) for a PBEsol-optimized structure of HoCu5.

Cell lengths 4.940, 4.940, 3.996 Å; angles 90.00, 90.00, 120.00 degrees
Fractional positions:
1 Ho 0.000 0.000 0.000
2 Cu 0.000 0.500 0.500
3 Cu 0.333 0.667 0.000
4 Cu 0.500 0.000 0.500
5 Cu 0.500 0.500 0.500
6 Cu 0.667 0.333 0.000

Calculated values
The calculation puts the formation energy at -219.7 meV per atom.


Density functional theory data (SCAN) for a PBEsol-optimized structure of HoCu5.

Cell lengths 4.874, 4.874, 4.874 Å; angles 60.00, 60.00, 60.00 degrees
Fractional positions:
1 Ho 0.000 0.000 0.000
2 Cu 0.376 0.376 0.376
3 Cu 0.376 0.376 0.872
4 Cu 0.376 0.872 0.376
5 Cu 0.750 0.750 0.750
6 Cu 0.872 0.376 0.376

Calculated values
The calculation puts the formation energy at -211.2 meV per atom.


Density functional theory data (SCAN) for a PBEsol-optimized structure of HoLuCu2.

Cell lengths 6.714, 6.714, 6.714 Å; angles 90.00, 90.00, 90.00 degrees
Fractional positions:
1 Ho 0.000 0.000 0.000
2 Ho 0.000 0.500 0.500
3 Ho 0.500 0.000 0.500
4 Ho 0.500 0.500 0.000
5 Lu 0.000 0.000 0.500
6 Lu 0.000 0.500 0.000
7 Lu 0.500 0.000 0.000
8 Lu 0.500 0.500 0.500
9 Cu 0.250 0.250 0.250
10 Cu 0.250 0.250 0.750
11 Cu 0.250 0.750 0.250
12 Cu 0.250 0.750 0.750
13 Cu 0.750 0.250 0.250
14 Cu 0.750 0.250 0.750
15 Cu 0.750 0.750 0.250
16 Cu 0.750 0.750 0.750

Calculated values
The calculation puts the formation energy at -345.0 meV per atom.


Density functional theory data (SCAN) for a PBEsol-optimized structure of HoMg2Cu9.

Cell lengths 4.907, 4.907, 15.913 Å; angles 90.00, 90.00, 120.00 degrees
Fractional positions:
1 Ho 0.333 0.667 0.250
2 Ho 0.667 0.333 0.750
3 Mg 0.333 0.667 0.033
4 Mg 0.333 0.667 0.467
5 Mg 0.667 0.333 0.533
6 Mg 0.667 0.333 0.967
7 Cu 0.000 0.000 0.000
8 Cu 0.000 0.000 0.250
9 Cu 0.000 0.000 0.500
10 Cu 0.000 0.000 0.750
11 Cu 0.168 0.336 0.624
12 Cu 0.168 0.336 0.876
13 Cu 0.168 0.832 0.624
14 Cu 0.168 0.832 0.876
15 Cu 0.333 0.667 0.750
16 Cu 0.336 0.168 0.124
17 Cu 0.336 0.168 0.376
18 Cu 0.664 0.832 0.624
19 Cu 0.664 0.832 0.876
20 Cu 0.667 0.333 0.250
21 Cu 0.832 0.168 0.124
22 Cu 0.832 0.168 0.376
23 Cu 0.832 0.664 0.124
24 Cu 0.832 0.664 0.376

Calculated values
The calculation puts the formation energy at -208.0 meV per atom.


Density functional theory data (SCAN) for a PBEsol-optimized structure of Ho2MgCu2.

Cell lengths 7.528, 7.528, 3.556 Å; angles 90.00, 90.00, 90.00 degrees
Fractional positions:
1 Ho 0.169 0.331 0.000
2 Ho 0.331 0.831 0.000
3 Ho 0.669 0.169 0.000
4 Ho 0.831 0.669 0.000
5 Mg 0.000 0.000 0.500
6 Mg 0.500 0.500 0.500
7 Cu 0.123 0.623 0.500
8 Cu 0.377 0.123 0.500
9 Cu 0.623 0.877 0.500
10 Cu 0.877 0.377 0.500

Calculated values
The calculation puts the formation energy at -293.6 meV per atom.


Density functional theory data (SCAN) for a PBEsol-optimized structure of Ho2CuO4.

Cell lengths 6.400, 6.400, 5.391 Å; angles 90.00, 90.00, 49.88 degrees
Fractional positions:
1 Ho 0.154 0.154 0.000
2 Ho 0.346 0.346 0.500
3 Ho 0.654 0.654 0.500
4 Ho 0.846 0.846 0.000
5 Cu 0.000 0.000 0.500
6 Cu 0.500 0.500 0.000
7 O 0.009 0.491 0.750
8 O 0.206 0.794 0.794
9 O 0.294 0.706 0.294
10 O 0.491 0.009 0.250
11 O 0.509 0.991 0.750
12 O 0.706 0.294 0.706
13 O 0.794 0.206 0.206
14 O 0.991 0.509 0.250

Calculated values
The energy above the most stable polymorph in this dataset is 0 meV/atom. As for the uncorrected formation energy: -3028 meV per atom.


Density functional theory data (SCAN) for a PBEsol-optimized structure of Ho2CuO4.

Cell lengths 3.805, 3.805, 11.455 Å; angles 90.00, 90.00, 90.00 degrees
Fractional positions:
1 Ho 0.000 0.000 0.151
2 Ho 0.000 0.000 0.849
3 Ho 0.500 0.500 0.349
4 Ho 0.500 0.500 0.651
5 Cu 0.000 0.000 0.500
6 Cu 0.500 0.500 0.000
7 O 0.000 0.500 0.000
8 O 0.000 0.500 0.250
9 O 0.000 0.500 0.500
10 O 0.000 0.500 0.750
11 O 0.500 0.000 0.000
12 O 0.500 0.000 0.250
13 O 0.500 0.000 0.500
14 O 0.500 0.000 0.750

Calculated values
The energy above the most stable polymorph in this dataset is 13 meV/atom. As for the uncorrected formation energy: -3015 meV per atom.


Density functional theory data (SCAN) for a PBEsol-optimized structure of Sr2HoCu3Pb2O8.

Cell lengths 15.613, 5.369, 5.333 Å; angles 90.00, 90.92, 90.00 degrees
Fractional positions:
1 Sr 0.220 0.000 0.011
2 Sr 0.220 0.500 0.511
3 Sr 0.780 0.000 0.989
4 Sr 0.780 0.500 0.489
5 Ho 0.000 0.000 0.000
6 Ho 0.000 0.500 0.500
7 Cu 0.104 0.000 0.505
8 Cu 0.104 0.500 0.005
9 Cu 0.500 0.000 0.000
10 Cu 0.500 0.500 0.500
11 Cu 0.896 0.000 0.495
12 Cu 0.896 0.500 0.995
13 Pb 0.389 0.004 0.505
14 Pb 0.389 0.496 0.005
15 Pb 0.611 0.504 0.995
16 Pb 0.611 0.996 0.495
17 O 0.090 0.750 0.254
18 O 0.090 0.750 0.754
19 O 0.092 0.250 0.254
20 O 0.092 0.250 0.754
21 O 0.250 0.510 0.013
22 O 0.250 0.990 0.513
23 O 0.385 0.060 0.053
24 O 0.385 0.440 0.553
25 O 0.615 0.560 0.447
26 O 0.615 0.940 0.947
27 O 0.750 0.010 0.487
28 O 0.750 0.490 0.987
29 O 0.908 0.750 0.246
30 O 0.908 0.750 0.746
31 O 0.910 0.250 0.246
32 O 0.910 0.250 0.746

Calculated values
The energy above the most stable polymorph in this dataset is 0 meV/atom. As for the uncorrected formation energy: -1926 meV per atom.


Density functional theory data (SCAN) for a PBEsol-optimized structure of Sr2HoCu3Pb2O8.

Cell lengths 3.773, 3.773, 15.658 Å; angles 90.00, 90.00, 90.00 degrees
Fractional positions:
1 Sr 0.000 0.000 0.220
2 Sr 0.000 0.000 0.780
3 Ho 0.000 0.000 0.000
4 Cu 0.000 0.000 0.500
5 Cu 0.500 0.500 0.103
6 Cu 0.500 0.500 0.897
7 Pb 0.500 0.500 0.388
8 Pb 0.500 0.500 0.612
9 O 0.000 0.000 0.383
10 O 0.000 0.000 0.617
11 O 0.000 0.500 0.091
12 O 0.000 0.500 0.909
13 O 0.500 0.000 0.091
14 O 0.500 0.000 0.909
15 O 0.500 0.500 0.249
16 O 0.500 0.500 0.751

Calculated values
The energy above the most stable polymorph in this dataset is 7 meV/atom. As for the uncorrected formation energy: -1919 meV per atom.


Density functional theory data (SCAN) for a PBEsol-optimized structure of Ho2Ti12Cu9O36.

Cell lengths 10.383, 10.383, 6.375 Å; angles 90.00, 90.00, 120.00 degrees
Fractional positions:
1 Ho 0.333 0.667 0.329
2 Ho 0.667 0.333 0.671
3 Ti 0.000 0.000 0.500
4 Ti 0.000 0.500 0.500
5 Ti 0.158 0.320 0.162
6 Ti 0.162 0.842 0.162
7 Ti 0.320 0.162 0.838
8 Ti 0.333 0.667 0.840
9 Ti 0.500 0.000 0.500
10 Ti 0.500 0.500 0.500
11 Ti 0.667 0.333 0.160
12 Ti 0.680 0.838 0.162
13 Ti 0.838 0.158 0.838
14 Ti 0.842 0.680 0.838
15 Cu 0.000 0.500 0.000
16 Cu 0.169 0.337 0.660
17 Cu 0.169 0.831 0.660
18 Cu 0.337 0.169 0.340
19 Cu 0.500 0.000 0.000
20 Cu 0.500 0.500 0.000
21 Cu 0.663 0.831 0.660
22 Cu 0.831 0.169 0.340
23 Cu 0.831 0.663 0.340
24 O 0.015 0.165 0.331
25 O 0.046 0.271 0.908
26 O 0.076 0.451 0.249
27 O 0.120 0.707 0.412
28 O 0.150 0.985 0.331
29 O 0.165 0.150 0.669
30 O 0.177 0.527 0.644
31 O 0.192 0.682 0.018
32 O 0.225 0.954 0.908
33 O 0.271 0.225 0.092
34 O 0.293 0.413 0.412
35 O 0.318 0.510 0.018
36 O 0.350 0.823 0.644
37 O 0.375 0.924 0.249
38 O 0.413 0.120 0.588
39 O 0.451 0.375 0.751
40 O 0.473 0.650 0.644
41 O 0.490 0.808 0.018
42 O 0.510 0.192 0.982
43 O 0.527 0.350 0.356
44 O 0.549 0.625 0.249
45 O 0.587 0.880 0.412
46 O 0.625 0.076 0.751
47 O 0.650 0.177 0.356
48 O 0.682 0.490 0.982
49 O 0.707 0.587 0.588
50 O 0.729 0.775 0.908
51 O 0.775 0.046 0.092
52 O 0.808 0.318 0.982
53 O 0.823 0.473 0.356
54 O 0.835 0.850 0.331
55 O 0.850 0.015 0.669
56 O 0.880 0.293 0.588
57 O 0.924 0.549 0.751
58 O 0.954 0.729 0.092
59 O 0.985 0.835 0.669

Calculated values
As for the uncorrected formation energy: -2612 meV per atom.


Density functional theory data (SCAN) for a PBEsol-optimized structure of Ho2CuW4O16.

Cell lengths 10.043, 10.043, 10.966 Å; angles 110.38, 110.38, 32.29 degrees
Fractional positions:
1 Ho 0.022 0.675 0.541
2 Ho 0.325 0.978 0.959
3 Ho 0.675 0.022 0.041
4 Ho 0.978 0.325 0.459
5 Cu 0.152 0.848 0.250
6 Cu 0.848 0.152 0.750
7 W 0.185 0.441 0.213
8 W 0.251 0.638 0.909
9 W 0.362 0.749 0.591
10 W 0.441 0.185 0.713
11 W 0.559 0.815 0.287
12 W 0.638 0.251 0.409
13 W 0.749 0.362 0.091
14 W 0.815 0.559 0.787
15 O 0.021 0.719 0.174
16 O 0.027 0.211 0.077
17 O 0.077 0.430 0.760
18 O 0.103 0.869 0.622
19 O 0.131 0.897 0.878
20 O 0.211 0.027 0.577
21 O 0.248 0.286 0.550
22 O 0.265 0.521 0.726
23 O 0.281 0.979 0.326
24 O 0.285 0.455 0.399
25 O 0.286 0.248 0.050
26 O 0.370 0.610 0.092
27 O 0.390 0.630 0.408
28 O 0.430 0.077 0.260
29 O 0.455 0.285 0.899
30 O 0.479 0.735 0.774
31 O 0.521 0.265 0.226
32 O 0.545 0.715 0.101
33 O 0.570 0.923 0.740
34 O 0.610 0.370 0.592
35 O 0.630 0.390 0.908
36 O 0.714 0.752 0.950
37 O 0.715 0.545 0.601
38 O 0.719 0.021 0.674
39 O 0.735 0.479 0.274
40 O 0.752 0.714 0.450
41 O 0.789 0.973 0.423
42 O 0.869 0.103 0.122
43 O 0.897 0.131 0.378
44 O 0.923 0.570 0.240
45 O 0.973 0.789 0.923
46 O 0.979 0.281 0.826

Calculated values
As for the uncorrected formation energy: -2548 meV per atom.